Entry 1:
## PuTh6Pb5 (GGA-PBE)

Data for an optimized crystal structure of PuTh6Pb5.

Results
Total energy in eV/atom: -6.65
Spin magnetization in Bohr magnetons per cell: 6.2
DFT formation energy in eV/atom: -0.204

Unit cell a=5.115 b=9.054 c=9.374 alpha=118.88 beta=105.83 gamma=90.00
Each line ends with the local moment (μB).
Fractional coordinates of all 12 atoms:
Pb: 0.340 0.840 0.680  -0.02
Pb: 0.663 0.663 0.327  0.01
Pb: 0.000 0.500 0.000  0.00
Pb: 0.337 0.337 0.673  0.01
Pb: 0.660 0.160 0.320  -0.02
Th: 0.168 0.411 0.336  0.01
Th: 0.168 0.925 0.336  0.01
Th: 0.500 0.244 0.000  0.12
Th: 0.500 0.756 0.000  0.12
Th: 0.832 0.075 0.664  0.01
Th: 0.832 0.589 0.664  0.01
Pu: 0.000 0.000 0.000  5.58

Entry 2:
## PuThPb (GGA-PBE)

Data for an optimized crystal structure of PuThPb.

Results
Energy above the most stable polymorph in this dataset in eV per atom: 0.174
Total energy in eV/atom: -8.44
Spin magnetization in Bohr magnetons per cell: 11.9
DFT formation energy in eV/atom: 0.043

Unit cell a=3.516 b=5.295 c=9.945 alpha=90.00 beta=99.79 gamma=90.00
Each line ends with the local moment (μB).
Fractional coordinates of all 6 atoms:
Pu: 0.397 0.250 0.274  -5.53
Pu: 0.603 0.750 0.726  -5.53
Th: 0.212 0.250 0.925  -0.04
Th: 0.788 0.750 0.075  -0.04
Pb: 0.027 0.250 0.588  0.02
Pb: 0.973 0.750 0.412  0.02

Entry 3:
## PuThPb (GGA-PBE)

Data for an optimized crystal structure of PuThPb.

Results
Energy above the most stable polymorph in this dataset in eV per atom: 0.025
Total energy in eV/atom: -8.59
Spin magnetization in Bohr magnetons per cell: 14.0
DFT formation energy in eV/atom: -0.106

Unit cell a=5.481 b=5.478 c=6.819 alpha=90.00 beta=90.00 gamma=120.02
Each line ends with the local moment (μB).
Fractional coordinates of all 6 atoms:
Th: 0.500 0.000 0.500  0.55
Th: 0.500 0.000 0.000  0.55
Pu: 0.167 0.334 0.250  5.62
Pu: 0.833 0.666 0.750  5.62
Pb: 0.167 0.333 0.750  -0.04
Pb: 0.833 0.667 0.250  -0.04

Entry 4:
## Pu2ThPb3 (GGA-PBE)

Data for an optimized crystal structure of Pu2ThPb3.

Results
Total energy in eV/atom: -8.07
Spin magnetization in Bohr magnetons per cell: 11.6
DFT formation energy in eV/atom: -0.206

Unit cell a=3.509 b=3.509 c=13.985 alpha=90.00 beta=90.00 gamma=90.00
Each line ends with the local moment (μB).
Fractional coordinates of all 6 atoms:
Pu: 0.500 0.500 0.835  5.57
Pu: 0.500 0.500 0.165  5.57
Th: 0.500 0.500 0.500  -0.09
Pb: 0.000 0.000 0.000  -0.07
Pb: 0.000 0.000 0.671  -0.03
Pb: 0.000 0.000 0.329  -0.03

Entry 5:
## Pu4ThPb5 (GGA-PBE)

Data for an optimized crystal structure of Pu4ThPb5.

Results
Total energy in eV/atom: -8.44
Spin magnetization in Bohr magnetons per cell: 0.2
DFT formation energy in eV/atom: -0.115

Unit cell a=4.179 b=4.179 c=16.339 alpha=90.00 beta=90.00 gamma=90.00
Each line ends with the local moment (μB).
Fractional coordinates of all 10 atoms:
Pu: 0.000 0.000 0.202  5.37
Pu: 0.000 0.000 0.401  -5.51
Pu: 0.000 0.000 0.599  -5.51
Pu: 0.000 0.000 0.798  5.37
Th: 0.000 0.000 0.000  0.16
Pb: 0.500 0.500 0.103  -0.03
Pb: 0.500 0.500 0.301  0.01
Pb: 0.500 0.500 0.500  0.03
Pb: 0.500 0.500 0.699  0.01
Pb: 0.500 0.500 0.897  -0.03

Entry 6:
## PuThPb (GGA-PBE)

Data for an optimized crystal structure of PuThPb.

Results
Energy above the most stable polymorph in this dataset in eV per atom: 0.029
Total energy in eV/atom: -8.59
Spin magnetization in Bohr magnetons per cell: 6.5
DFT formation energy in eV/atom: -0.102

Unit cell a=4.173 b=4.173 c=5.770 alpha=111.20 beta=111.20 gamma=90.00
Each line ends with the local moment (μB).
Fractional coordinates of all 3 atoms:
Pb: 0.001 0.001 0.003  -0.06
Th: 0.340 0.340 0.680  0.40
Pu: 0.659 0.659 0.317  5.56

Entry 7:
## PuTh4Pb5 (GGA-PBE)

Data for an optimized crystal structure of PuTh4Pb5.

Results
Total energy in eV/atom: -6.08
Spin magnetization in Bohr magnetons per cell: 11.5
DFT formation energy in eV/atom: 0.171

Unit cell a=11.055 b=6.939 c=8.540 alpha=90.00 beta=90.00 gamma=90.00
Each line ends with the local moment (μB).
Fractional coordinates of all 20 atoms:
Pu: 0.813 0.000 0.000  5.39
Pu: 0.187 0.500 0.500  5.39
Th: 0.998 0.000 0.768  0.14
Th: 0.535 0.753 0.000  0.01
Th: 0.535 0.247 0.000  0.01
Th: 0.998 0.000 0.232  0.14
Th: 0.002 0.500 0.268  0.14
Th: 0.465 0.747 0.500  0.01
Th: 0.465 0.253 0.500  0.01
Th: 0.002 0.500 0.732  0.14
Pb: 0.271 0.744 0.813  0.00
Pb: 0.271 0.256 0.813  0.00
Pb: 0.789 0.500 0.000  -0.02
Pb: 0.271 0.744 0.187  0.00
Pb: 0.271 0.256 0.187  0.00
Pb: 0.729 0.756 0.313  0.00
Pb: 0.729 0.244 0.313  0.00
Pb: 0.211 0.000 0.500  -0.02
Pb: 0.729 0.244 0.687  0.00
Pb: 0.729 0.756 0.687  0.00

Entry 8:
## Pu2Th2Pb3 (GGA-PBE)

Data for an optimized crystal structure of Pu2Th2Pb3.

Results
Total energy in eV/atom: -7.94
Spin magnetization in Bohr magnetons per cell: 11.6
DFT formation energy in eV/atom: -0.135

Unit cell a=4.703 b=3.560 c=12.266 alpha=90.00 beta=78.95 gamma=90.00
Each line ends with the local moment (μB).
Fractional coordinates of all 7 atoms:
Pu: 0.713 0.500 0.573  5.67
Pu: 0.287 0.500 0.427  5.67
Th: 0.576 0.500 0.848  -0.02
Th: 0.424 0.500 0.152  -0.02
Pb: 0.845 0.000 0.310  -0.05
Pb: 0.000 0.000 0.000  -0.02
Pb: 0.155 0.000 0.690  -0.05

Entry 9:
## PuThPb (GGA-PBE)

Data for an optimized crystal structure of PuThPb.

Results
Energy above the most stable polymorph in this dataset in eV per atom: 0.169
Total energy in eV/atom: -8.45
Spin magnetization in Bohr magnetons per cell: 7.0
DFT formation energy in eV/atom: 0.038

Unit cell a=3.425 b=5.425 c=5.425 alpha=120.00 beta=90.00 gamma=90.00
Each line ends with the local moment (μB).
Fractional coordinates of all 3 atoms:
Pb: 0.971 0.000 0.000  -0.02
Th: 0.325 0.667 0.333  0.49
Pu: 0.705 0.333 0.667  5.74

Entry 10:
## Pu4ThPb2 (GGA-PBE)

Data for an optimized crystal structure of Pu4ThPb2.

Results
Total energy in eV/atom: -10.22
Spin magnetization in Bohr magnetons per cell: 0.1
DFT formation energy in eV/atom: 0.086

Unit cell a=6.237 b=6.237 c=6.309 alpha=103.34 beta=103.34 gamma=122.22
Each line ends with the local moment (μB).
Fractional coordinates of all 7 atoms:
Pu: 0.750 0.250 0.500  5.20
Pu: 0.250 0.750 0.500  5.20
Pu: 0.500 0.000 0.000  -5.02
Pu: 0.000 0.500 0.000  -5.02
Th: 0.000 0.000 0.000  -0.29
Pb: 0.648 0.648 0.296  0.00
Pb: 0.352 0.352 0.704  0.00

Entry 11:
## PuTh3Pb12 (GGA-PBE)

Data for an optimized crystal structure of PuTh3Pb12.

Results
Total energy in eV/atom: -5.29
Spin magnetization in Bohr magnetons per cell: 5.6
DFT formation energy in eV/atom: -0.221

Unit cell a=4.926 b=4.926 c=19.330 alpha=90.00 beta=90.00 gamma=90.00
Each line ends with the local moment (μB).
Fractional coordinates of all 16 atoms:
Pu: 0.000 0.000 0.000  5.48
Th: 0.000 0.000 0.250  -0.03
Th: 0.000 0.000 0.500  0.00
Th: 0.000 0.000 0.750  -0.03
Pb: 0.500 0.500 0.000  0.00
Pb: 0.500 0.500 0.248  0.00
Pb: 0.500 0.500 0.500  0.00
Pb: 0.500 0.500 0.752  0.00
Pb: 0.500 0.000 0.123  0.00
Pb: 0.500 0.000 0.374  0.00
Pb: 0.500 0.000 0.626  0.00
Pb: 0.500 0.000 0.877  0.00
Pb: 0.000 0.500 0.123  0.00
Pb: 0.000 0.500 0.374  0.00
Pb: 0.000 0.500 0.626  0.00
Pb: 0.000 0.500 0.877  0.00

Entry 12:
## PuThPb (GGA-PBE)

Data for an optimized crystal structure of PuThPb.

Results
Energy above the most stable polymorph in this dataset in eV per atom: 0.000
Total energy in eV/atom: -8.62
Spin magnetization in Bohr magnetons per cell: 13.8
DFT formation energy in eV/atom: -0.131

Unit cell a=5.628 b=5.628 c=6.520 alpha=90.00 beta=90.00 gamma=120.02
Each line ends with the local moment (μB).
Fractional coordinates of all 6 atoms:
Pu: 0.000 0.000 0.000  5.80
Pu: 0.000 0.000 0.500  5.80
Th: 0.667 0.333 0.250  0.37
Th: 0.333 0.667 0.750  0.37
Pb: 0.334 0.666 0.250  -0.05
Pb: 0.666 0.334 0.750  -0.05

Entry 13:
## PuThTlPb (GGA-PBE)

Data for an optimized crystal structure of PuThTlPb.

Results
Energy above the most stable polymorph in this dataset in eV per atom: 0.083
Total energy in eV/atom: -7.02
Spin magnetization in Bohr magnetons per cell: 6.3
DFT formation energy in eV/atom: -0.058

Unit cell a=5.496 b=5.496 c=5.496 alpha=60.00 beta=60.00 gamma=60.00
Each line ends with the local moment (μB).
Fractional coordinates of all 4 atoms:
Pb: 0.000 0.000 0.000  -0.01
Tl: 0.500 0.500 0.500  -0.01
Th: 0.250 0.250 0.250  0.21
Pu: 0.750 0.750 0.750  5.51

Entry 14:
## PuThTlPb (GGA-PBE)

Data for an optimized crystal structure of PuThTlPb.

Results
Energy above the most stable polymorph in this dataset in eV per atom: 0.000
Total energy in eV/atom: -7.10
Spin magnetization in Bohr magnetons per cell: 6.7
DFT formation energy in eV/atom: -0.141

Unit cell a=4.664 b=4.995 c=4.944 alpha=90.00 beta=90.00 gamma=90.00
Each line ends with the local moment (μB).
Fractional coordinates of all 4 atoms:
Pu: 0.500 0.000 0.500  5.63
Th: 0.500 0.500 0.000  0.42
Tl: 0.000 0.000 0.000  0.00
Pb: 0.000 0.500 0.500  -0.04

Entry 15:
## PuTi2Pb (GGA-PBE)

Data for an optimized crystal structure of PuTi2Pb.

Results
Energy above the most stable polymorph in this dataset in eV per atom: 0.000
Total energy in eV/atom: -8.43
Spin magnetization in Bohr magnetons per cell: 6.2
DFT formation energy in eV/atom: 0.029

Unit cell a=3.931 b=4.587 c=4.587 alpha=90.00 beta=90.00 gamma=90.00
Each line ends with the local moment (μB).
Fractional coordinates of all 4 atoms:
Pb: 0.500 0.500 0.500  -0.04
Ti: 0.000 0.000 0.500  0.31
Ti: 0.000 0.500 0.000  0.31
Pu: 0.500 0.000 0.000  5.21

Entry 16:
## PuTi2Pb (GGA-PBE)

Data for an optimized crystal structure of PuTi2Pb.

Results
Energy above the most stable polymorph in this dataset in eV per atom: 0.030
Total energy in eV/atom: -8.40
Spin magnetization in Bohr magnetons per cell: 7.5
DFT formation energy in eV/atom: 0.058

Unit cell a=4.880 b=4.880 c=4.880 alpha=60.00 beta=60.00 gamma=60.00
Each line ends with the local moment (μB).
Fractional coordinates of all 4 atoms:
Pb: 0.000 0.000 0.000  -0.07
Ti: 0.250 0.250 0.250  0.70
Ti: 0.750 0.750 0.750  0.70
Pu: 0.500 0.500 0.500  5.55

Entry 17:
## PuTiPb (GGA-PBE)

Data for an optimized crystal structure of PuTiPb.

Results
Total energy in eV/atom: -8.52
Spin magnetization in Bohr magnetons per cell: 4.9
DFT formation energy in eV/atom: 0.125

Unit cell a=3.211 b=3.211 c=7.245 alpha=102.80 beta=102.80 gamma=90.00
Each line ends with the local moment (μB).
Fractional coordinates of all 3 atoms:
Pb: 0.011 0.011 0.022  -0.02
Ti: 0.667 0.667 0.333  -0.45
Pu: 0.322 0.322 0.644  5.25

Entry 18:
## Pu5TlPb3 (GGA-PBE)

Data for an optimized crystal structure of Pu5TlPb3.

Results
Total energy in eV/atom: -9.56
Spin magnetization in Bohr magnetons per cell: 58.5
DFT formation energy in eV/atom: -0.102

Unit cell a=6.553 b=9.489 c=9.489 alpha=120.00 beta=90.00 gamma=90.00
Each line ends with the local moment (μB).
Fractional coordinates of all 18 atoms:
Pu: 0.000 0.333 0.667  5.65
Pu: 0.500 0.667 0.333  5.65
Pu: 0.000 0.667 0.333  5.65
Pu: 0.500 0.333 0.667  5.65
Pu: 0.750 0.691 0.000  5.43
Pu: 0.750 0.309 0.309  5.43
Pu: 0.750 0.000 0.691  5.43
Pu: 0.250 0.309 0.000  5.43
Pu: 0.250 0.691 0.691  5.43
Pu: 0.250 0.000 0.309  5.43
Tl: 0.000 0.000 0.000  0.06
Tl: 0.500 0.000 0.000  0.06
Pb: 0.750 0.357 0.000  -0.11
Pb: 0.750 0.643 0.643  -0.11
Pb: 0.750 0.000 0.357  -0.11
Pb: 0.250 0.643 0.000  -0.11
Pb: 0.250 0.357 0.357  -0.11
Pb: 0.250 0.000 0.643  -0.11

Entry 19:
## Pu4Tl3Pb (GGA-PBE)

Data for an optimized crystal structure of Pu4Tl3Pb.

Results
Total energy in eV/atom: -8.58
Spin magnetization in Bohr magnetons per cell: 0.0
DFT formation energy in eV/atom: -0.061

Unit cell a=3.347 b=3.347 c=19.292 alpha=90.00 beta=90.00 gamma=90.00
Each line ends with the local moment (μB).
Fractional coordinates of all 8 atoms:
Pb: 0.500 0.500 0.000  0.07
Tl: 0.500 0.500 0.250  0.01
Tl: 0.500 0.500 0.500  -0.04
Tl: 0.500 0.500 0.750  0.01
Pu: 0.000 0.000 0.875  -5.58
Pu: 0.000 0.000 0.125  -5.58
Pu: 0.000 0.000 0.376  5.57
Pu: 0.000 0.000 0.624  5.57

Entry 20:
## Pu2Tl9Pb (GGA-PBE)

Data for an optimized crystal structure of Pu2Tl9Pb.

Results
Total energy in eV/atom: -4.46
Spin magnetization in Bohr magnetons per cell: 11.9
DFT formation energy in eV/atom: 0.010

Unit cell a=4.881 b=4.881 c=14.409 alpha=90.00 beta=90.00 gamma=90.00
Each line ends with the local moment (μB).
Fractional coordinates of all 12 atoms:
Pu: 0.000 0.000 0.335  5.53
Pu: 0.000 0.000 0.665  5.53
Tl: 0.500 0.500 0.000  0.00
Tl: 0.500 0.500 0.340  0.01
Tl: 0.500 0.500 0.660  0.01
Tl: 0.500 0.000 0.172  0.00
Tl: 0.500 0.000 0.500  0.02
Tl: 0.500 0.000 0.828  0.00
Tl: 0.000 0.500 0.172  0.00
Tl: 0.000 0.500 0.500  0.02
Tl: 0.000 0.500 0.828  0.00
Pb: 0.000 0.000 0.000  -0.02

Across the entries above, calculated density takes the values 12.29 12.43 12.80 12.94 13.06 13.14 11.19 12.96 12.99 14.77 12.13 12.69 12.56 12.80 10.98 11.05 11.68 13.30 13.80 12.26 Mg/m³, respectively.